A plane-wave DFT calculation with GGA-PBE was carried out for an optimized crystal structure of Cs2NaTeF6.

abc: 6.5000 6.5000 34.7722
angles: 90.00 90.00 120.00
Space group R-3m (No. 166, hexagonal axes)
Asymmetric unit:
Cs 0.0000 0.0000 0.1328 [6 per cell]
Cs 0.0000 0.0000 0.2744 [6 per cell]
Na 0.0000 0.0000 0.4050 [6 per cell]
Te 0.0000 0.0000 0.0000 [3 per cell]
Te 0.0000 0.0000 0.5000 [3 per cell]
F 0.0271 0.5135 0.7011 [18 per cell]
F 0.0373 0.5186 0.1159 [18 per cell]

## Properties
- theoretical density (kg/m³) = 4153
- E_form (uncorrected) (eV per atom) = -2.36